# Na2Ga2Ni GGA-PBE relaxed
data_Na2Ga2Ni
_cell_length_a 6.329
_cell_length_b 6.329
_cell_length_c 5.162
_cell_angle_alpha 90.00
_cell_angle_beta 90.00
_cell_angle_gamma 90.00
_space_group_name_H-M_alt 'P 4/m b m'
_space_group_IT_number 127
_space_group_name_Hall '-P 4 2ab'
loop_
_atom_site_label
_atom_site_fract_x
_atom_site_fract_y
_atom_site_fract_z
Na1 0.178 0.322 0.000
Ga1 0.159 0.659 0.500
Ni1 0.000 0.000 0.500
# Formation energy from the elements: -0.041 eV/atom
# D(E_F): 4.55 states/eV per cell
# Theoretical density: 3.9 Mg/m³